## KAgPbSe2 (PBE)

Data for crystalline KAgPbSe2 at its relaxed geometry.

abc: 5.7964 7.4932 8.5839
angles: 115.88 90.00 90.00
Sites, in units of the cell vectors:
K: 0.2312 0.7500 0.5000
K: 0.7688 0.2500 0.5000
Ag: 0.0000 0.0000 0.0000
Ag: 0.0000 0.5000 0.0000
Pb: 0.5000 0.7500 0.0000
Pb: 0.5000 0.2500 0.0000
Se: 0.7369 0.8726 0.7453
Se: 0.7369 0.6274 0.2547
Se: 0.2631 0.3726 0.7453
Se: 0.2631 0.1274 0.2547

Values from the calculation:
The uncorrected formation energy is -0.5461 eV/atom. As for the symmetry: Cmme, No. 67. The spin magnetization comes out at 0.0 μB per formula unit.



## KSrAgPb (PBE)

Data for crystalline KSrAgPb at its relaxed geometry.

abc: 5.5382 5.5382 5.5382
angles: 60.00 60.00 60.00
Sites, in units of the cell vectors:
Pb: 0.7500 0.7500 0.7500
Sr: 0.0000 0.0000 0.0000
K: 0.2500 0.2500 0.2500
Ag: 0.5000 0.5000 0.5000

Values from the calculation:
The formation energy comes out at -0.140 eV/atom. As for the symmetry: F-43m, No. 216. The spin magnetization comes out at 0.0 μB per formula unit.



## KAgTe2Pb (PBE)

Data for crystalline KAgTe2Pb at its relaxed geometry.

abc: 6.2793 7.5372 8.9845
angles: 114.80 90.00 90.00
Sites, in units of the cell vectors:
K: 0.2390 0.7500 0.5000
K: 0.7610 0.2500 0.5000
Ag: 0.0000 0.0000 0.0000
Ag: 0.0000 0.5000 0.0000
Te: 0.7433 0.8707 0.7414
Te: 0.7433 0.6293 0.2586
Te: 0.2567 0.3707 0.7414
Te: 0.2567 0.1293 0.2586
Pb: 0.5000 0.7500 0.0000
Pb: 0.5000 0.2500 0.0000

Values from the calculation:
The uncorrected formation energy is -0.4360 eV/atom. As for the symmetry: Cmme, No. 67. The spin magnetization comes out at 0.0 μB per formula unit.



## KTl2AgPb (PBE)

Data for crystalline KTl2AgPb at its relaxed geometry.

abc: 5.6459 5.6459 5.6464
angles: 90.00 90.00 90.00
Sites, in units of the cell vectors:
Pb: 0.0000 0.0000 0.5000
Tl: 0.0000 0.5000 0.0000
Tl: 0.5000 0.0000 0.0000
K: 0.5000 0.5000 0.5000
Ag: 0.0000 0.0000 0.0000

Values from the calculation:
The formation energy comes out at 0.122 eV/atom. As for the symmetry: P4/mmm, No. 123. The spin magnetization comes out at 0.0 μB per formula unit.